# 1
Mg3TiIn PBE relaxed; crystal system = cubic; energy relative to the lowest polymorph listed for this composition = 16.1 meV per atom; energy of formation from the pure elements = 0.88 eV per atom; M_tot = 0.7309 μB/atom
1.0
-0.8078 3.3666 -4.1956
3.6875 -2.7424 -2.9105
-3.9166 -3.2764 -1.8749
Mg Ti In
3 1 1
Direct
0.0000 0.5000 0.0000 Mg
0.0000 0.0000 0.5000 Mg
0.5000 0.0000 0.0000 Mg
0.0000 0.0000 0.0000 Ti
0.5000 0.5000 0.5000 In


# 2
Tm7In2Os2 PBE relaxed; crystal system = orthorhombic; energy of formation from the pure elements = -0.22 eV per atom; M_tot = 0.0000 μB/atom
1.0
-0.8376 0.4499 -6.6514
3.7997 -5.8229 -0.8723
-5.1559 -3.6961 2.2136
Tm In Os
7 2 2
Direct
0.9998 0.2480 0.5003 Tm
0.5003 0.7520 0.9998 Tm
0.0002 0.7520 0.4997 Tm
0.4997 0.2480 0.0002 Tm
0.0000 0.0000 0.0000 Tm
0.5002 0.7591 0.4998 Tm
0.4998 0.2409 0.5002 Tm
0.8235 0.5000 0.8235 In
0.1765 0.5000 0.1765 In
0.7093 0.0000 0.2907 Os
0.2907 0.0000 0.7093 Os


# 3
Ag2Sn2Bi PBE relaxed; crystal system = tetragonal; energy relative to the lowest polymorph listed for this composition = 0.0 meV per atom; energy of formation from the pure elements = 0.09 eV per atom; M_tot = 0.0000 μB/atom
1.0
-4.8483 2.5571 -6.2601
0.4637 -7.5589 -3.4469
-2.8761 -1.0050 1.8170
Bi Ag Sn
2 4 4
Direct
0.0000 0.0000 0.0000 Bi
0.5000 0.5000 0.0000 Bi
0.3712 0.8712 0.0000 Ag
0.8712 0.6288 0.0000 Ag
0.6288 0.1288 0.0000 Ag
0.1288 0.3712 0.0000 Ag
0.1651 0.6651 0.5000 Sn
0.6651 0.8349 0.5000 Sn
0.8349 0.3349 0.5000 Sn
0.3349 0.1651 0.5000 Sn


# 4
AcZnCd PBE relaxed; crystal system = monoclinic; energy relative to the lowest polymorph listed for this composition = 111.2 meV per atom; energy of formation from the pure elements = -0.19 eV per atom; M_tot = 0.0000 μB/atom
1.0
6.1032 0.0000 0.0000
0.0000 9.0838 -0.5407
0.0000 -1.9152 6.0557
Zn Ac Cd
4 4 4
Direct
0.5020 0.2486 0.4975 Zn
0.0020 0.2514 0.5025 Zn
0.4980 0.7514 0.5025 Zn
0.9980 0.7486 0.4975 Zn
0.2481 0.6035 0.9129 Ac
0.2519 0.1035 0.9129 Ac
0.7519 0.3965 0.0871 Ac
0.7481 0.8965 0.0871 Ac
0.2478 0.9606 0.3427 Cd
0.2522 0.4606 0.3427 Cd
0.7522 0.0394 0.6573 Cd
0.7478 0.5394 0.6573 Cd


# 5
HgSe2O6 PBE relaxed; crystal system = monoclinic; energy relative to the elements, uncorrected = -0.44 eV per atom; M_tot = 0.0000 μB/atom
1.0
6.9240 0.1097 0.1062
2.1377 6.6987 0.1300
2.1377 0.3470 6.6910
Hg Se O
2 4 12
Direct
0.2500 0.1151 0.8849 Hg
0.7500 0.8849 0.1151 Hg
0.2794 0.6290 0.7640 Se
0.2206 0.2360 0.3710 Se
0.7206 0.3710 0.2360 Se
0.7794 0.7640 0.6290 Se
0.5243 0.6645 0.6194 O
0.9757 0.3806 0.3355 O
0.4757 0.3355 0.3806 O
0.0243 0.6194 0.6645 O
0.8233 0.9014 0.4084 O
0.6767 0.5916 0.0986 O
0.1767 0.0986 0.5916 O
0.3233 0.4084 0.9014 O
0.1632 0.8059 0.9384 O
0.3368 0.0616 0.1941 O
0.8368 0.1941 0.0616 O
0.6632 0.9384 0.8059 O


# 6
YBiH2 PBE relaxed; crystal system = cubic; energy relative to the lowest polymorph listed for this composition = 549.6 meV per atom; M_tot = 0.0000 μB/atom
1.0
0.0000 3.1750 3.1750
3.1750 0.0000 3.1750
3.1750 3.1750 0.0000
Y H Bi
1 2 1
Direct
0.0000 0.0000 0.0000 Y
0.2500 0.2500 0.2500 H
0.7500 0.7500 0.7500 H
0.5000 0.5000 0.5000 Bi


# 7
Co3Os PBE relaxed; crystal system = tetragonal; energy of formation from the pure elements = 0.14 eV per atom; M_tot = 0.8893 μB/atom
1.0
-1.8740 0.5480 -1.7175
-1.5844 -1.6827 1.1919
-2.2947 5.0831 4.1259
Co Os
3 1
Direct
0.0000 0.0000 0.9897 Co
0.0000 0.0000 0.5103 Co
0.5000 0.5000 0.7500 Co
0.5000 0.5000 0.2500 Os


# 8
CsMnTlBr6 PBE relaxed; crystal system = trigonal; energy relative to the elements, uncorrected = -0.88 eV per atom; M_tot = 0.3263 μB/atom
1.0
7.8589 0.0021 0.0003
3.9313 6.8053 -0.0004
0.0005 -0.0012 7.2243
Cs Mn Tl Br
1 1 1 6
Direct
0.0000 0.0000 0.0000 Cs
0.6666 0.6667 0.5000 Mn
0.3334 0.3334 0.5000 Tl
0.9231 0.4126 0.3012 Br
0.4126 0.9232 0.6988 Br
0.6641 0.4129 0.6990 Br
0.9228 0.6643 0.6990 Br
0.4129 0.6642 0.3010 Br
0.6642 0.9229 0.3010 Br